## Ta2GaAgAu (PBE)

Data for a relaxed structure of Ta2GaAgAu.

a b c (Å): 4.7809 4.5715 4.7809
angles (deg): 90.00 90.00 90.00
Closest atoms and distances in Å follow each position.
Fractional coordinates of all 5 atoms:
Au 0.5000 0.5000 0.5000  8 Ta 3.31, 4 Ag 3.38
Ga 0.0000 0.0000 0.0000  2 Ag 2.29, 4 Ta 2.39
Ag 0.0000 0.5000 0.0000  2 Ga 2.29
Ta 0.0000 0.0000 0.5000  2 Ga 2.39
Ta 0.5000 0.0000 0.0000  2 Ga 2.39

**Density**: 11.703 g cm⁻³
**SG**: P4/mmm, No. 123
**E**: -5.449 eV/atom
**E_form**: 1.12 eV/atom